Material: SrNiO
Method: DFT, PBE with a Hubbard U
State: optimized geometry

The value obtained for the size of the total moment is 1.01 μB/f.u. For the electronic total energy, the calculation gives -4.231 eV per atom.

POSCAR file:
```
SrNiO
1.0
-4.474 7.524 -1.062
-1.687 -0.430 -3.648
-1.563 -1.923 3.190
O Ni Sr
2 2 2
Direct
0.267 0.952 0.759
0.646 0.211 0.657
0.875 0.036 0.537
0.841 0.371 0.173
0.168 0.640 0.036
0.556 0.890 0.924
```